1.
Below is TbYLuIn after structural relaxation, with properties calculated at the GGA-PBE level.

calculated total energy	-4.742	eV/atom
ΔE_f	-0.6	eV per formula unit
V	113.1	Å³ per cell
M_tot	0.61	μB/f.u.

Geometry as extended XYZ:
```
4
Lattice="-1.7984 0.1125 -5.1201 -3.4275 -3.8245 -1.7572 -5.1775 1.2619 -1.0308" Properties=species:S:1:pos:R:3 pbc="T T T"
Y -2.6009 -0.6125 -1.9770
Lu 0.0000 0.0000 0.0000
Tb -7.8026 -1.8376 -5.9310
In -5.2017 -1.2250 -3.9540
```

---

2.
Below is CaSb2Mo after structural relaxation, with properties calculated at the GGA-PBE level.

calculated total energy	-4.858	eV/atom
energy relative to the lowest polymorph listed for this composition	252	kJ/mol of formula units
V	93.8	Å³ per cell
M_tot	1.85	μB/f.u.

Geometry as extended XYZ:
```
4
Lattice="-1.6081 -4.1883 -2.4272 -1.5204 -4.0706 2.6716 -4.9372 -1.2768 0.1144" Properties=species:S:1:pos:R:3 pbc="T T T"
Sb 0.0000 0.0000 0.0000
Sb -2.0164 -2.3839 0.0897
Mo -6.0492 -7.1518 0.2691
Ca -4.0328 -4.7679 0.1794
```